A:
Y3Ho4Mg | PBE | relaxed

Cell: 6.133 8.734 10.036 Å, 90.00 90.00 90.00°
Space group Imm2 (No. 44)
Inequivalent atoms, fractional coordinates:
Y 0.000 0.000 0.000 x2
Y 0.000 0.188 0.658 x4
Ho 0.000 0.326 0.343 x4
Ho 0.247 0.000 0.319 x4
Mg 0.000 0.500 0.080 x2

- calculated density (Mg/m³) = 5.87

B:
Y3Ho4Mg | PBE | relaxed

Cell: 25.426 3.380 5.867 Å, 90.00 95.81 90.00°
Space group C2/m (No. 12)
Inequivalent atoms, fractional coordinates:
Y 0.000 0.000 0.000 x2
Y 0.149 0.000 0.216 x4
Ho 0.102 0.000 0.696 x4
Ho 0.218 0.500 0.738 x4
Mg 0.000 0.500 0.500 x2

- calculated density (Mg/m³) = 6.30

If you had to name the least stable structure above, which would it be? It would be A.